Model a:
MoPt2Cl, optimized geometry, DFT PBEsol; symmetry = Fm-3m; calculated volume = 15.77 Å³/atom; D(E_F) = 3.81 states/eV per cell; magnetic moment = 0.42 μB per formula unit
1.0
4.468 0.000 0.000
2.234 3.869 0.000
2.234 1.290 3.648
Mo Pt Cl
1 2 1
Cartesian
4.468 2.580 1.824
6.702 3.869 2.736
2.234 1.290 0.912
0.000 0.000 0.000

=====

Model b:
MoPt2Cl, optimized geometry, DFT PBEsol; symmetry = P2/m; calculated volume = 15.38 Å³/atom; D(E_F) = 4.16 states/eV per cell; magnetic moment = 0.00 μB per formula unit
1.0
-2.697 -0.405 0.382
0.784 -1.206 4.254
-0.740 5.092 0.177
Mo Pt Cl
1 2 1
Cartesian
0.022 1.943 2.215
0.000 0.000 0.000
-0.957 -0.806 2.318
-1.719 2.344 0.279

=====

Model c:
MoPt2Cl, optimized geometry, DFT PBEsol; symmetry = I4/mmm; calculated volume = 15.37 Å³/atom; D(E_F) = 4.25 states/eV per cell; magnetic moment = 0.00 μB per formula unit
1.0
3.878 0.000 0.000
0.000 3.878 0.000
-1.939 -1.939 4.087
Mo Pt Cl
1 2 1
Cartesian
0.000 0.000 0.000
1.939 0.000 2.044
0.000 1.939 2.044
1.939 1.939 0.000

=====

Structures ranked by computed energy, the most stable listed first: model b, model c, model a.

=====

Model a:
Mo2RhCl, optimized geometry, DFT PBEsol; symmetry = P4/mmm; calculated volume = 14.23 Å³/atom; D(E_F) = 2.61 states/eV per cell; magnetic moment = 0.00 μB per formula unit
1.0
2.774 0.000 0.000
0.000 4.530 0.000
0.000 0.000 4.530
Mo Rh Cl
2 1 1
Cartesian
0.000 0.000 2.265
0.000 2.265 0.000
1.387 2.265 2.265
1.387 0.000 0.000

=====

Model b:
Mo2RhCl, optimized geometry, DFT PBEsol; symmetry = R-3m; calculated volume = 14.45 Å³/atom; D(E_F) = 4.13 states/eV per cell; magnetic moment = 0.00 μB per formula unit
1.0
-0.245 2.184 -1.757
-1.835 2.059 0.561
5.258 5.545 3.907
Mo Rh Cl
2 1 1
Cartesian
0.761 2.423 0.653
2.418 7.365 2.058
1.589 4.894 1.356
0.000 0.000 0.000

=====

Model c:
Mo2RhCl, optimized geometry, DFT PBEsol; symmetry = Fm-3m; calculated volume = 14.34 Å³/atom; D(E_F) = 3.83 states/eV per cell; magnetic moment = 0.00 μB per formula unit
1.0
4.329 0.000 0.000
2.164 3.749 0.000
2.164 1.250 3.535
Mo Rh Cl
2 1 1
Cartesian
2.164 1.250 0.884
6.493 3.749 2.651
4.329 2.499 1.767
0.000 0.000 0.000

=====

Structures ranked by computed energy, the most stable listed first: model b, model a, model c.

=====

Model a:
MoRh2Cl, optimized geometry, DFT PBEsol; symmetry = Cmmm; calculated volume = 14.42 Å³/atom; D(E_F) = 5.42 states/eV per cell; magnetic moment = 0.00 μB per formula unit
1.0
-2.218 -1.589 0.435
-0.761 -0.214 -4.663
2.808 -3.527 1.431
Cl Mo Rh
1 1 2
Cartesian
-1.109 -0.795 0.217
-0.086 -2.665 -1.399
-0.380 -0.107 -2.332
1.404 -1.764 0.716

=====

Model b:
MoRh2Cl, optimized geometry, DFT PBEsol; symmetry = Fm-3m; calculated volume = 14.73 Å³/atom; D(E_F) = 3.65 states/eV per cell; magnetic moment = 0.00 μB per formula unit
1.0
-3.186 1.569 -2.542
0.050 -0.780 -4.297
-2.929 -2.720 -1.760
Cl Mo Rh
1 1 2
Cartesian
0.000 0.000 0.000
-3.032 -0.965 -4.300
-1.516 -0.483 -2.150
-4.549 -1.448 -6.449

=====

Model c:
MoRh2Cl, optimized geometry, DFT PBEsol; symmetry = F-43m; calculated volume = 14.14 Å³/atom; D(E_F) = 4.51 states/eV per cell; magnetic moment = 0.00 μB per formula unit
1.0
4.308 0.000 0.000
2.154 3.731 0.000
2.154 1.244 3.518
Cl Mo Rh
1 1 2
Cartesian
4.308 2.487 1.759
6.462 3.731 2.638
0.000 0.000 0.000
2.154 1.244 0.879

=====

Structures ranked by computed energy, the most stable listed first: model c, model a, model b.